(1)
DFT (PBE-GGA) results for a geometry-optimized Tb7Pm2Nd2 structure.

Structure (POSCAR):
```
Tb7Pm2Nd2
1.0
5.777 1.154 1.665
0.419 8.014 1.322
0.419 -1.576 7.968
Tb Pm Nd
7 2 2
Direct
0.825 0.936 0.411
0.175 0.589 0.064
0.579 0.768 0.768
0.421 0.232 0.232
0.000 0.000 0.000
0.825 0.411 0.936
0.175 0.064 0.589
0.500 0.213 0.787
0.500 0.787 0.213
0.191 0.594 0.594
0.809 0.406 0.406
```

Summary:
The value obtained for the calculated density is 7.568 g/cm3. The calculation puts the density of states at the Fermi level at 17.66 states/eV/f.u. For the electronic total energy, the calculation gives -49.8 eV per cell.


(2)
DFT (PBE-GGA) results for a geometry-optimized ReTeNO2 structure.

Structure (POSCAR):
```
ReTeNO2
1.0
-0.941 3.748 0.685
-0.993 0.440 -3.771
-3.863 -1.132 0.886
Re Te O N
1 1 2 1
Direct
0.000 0.000 0.000
0.500 0.500 0.500
0.500 0.000 0.000
0.000 0.500 0.000
0.000 0.000 0.500
```

Summary:
The value obtained for the calculated density is 9.412 g/cm3. The calculation puts the density of states at the Fermi level at 4.69 states/eV/f.u. Its uncorrected formation energy is -0.3 eV/f.u.


(3)
DFT (PBE-GGA) results for a geometry-optimized BeCo2As structure.

Structure (POSCAR):
```
BeCo2As
1.0
2.747 0.000 0.000
0.000 4.434 0.011
0.000 2.854 3.653
Be As Co
1 1 2
Direct
0.000 0.000 0.500
0.500 0.500 0.500
0.500 0.500 0.000
0.000 0.000 0.000
```

Summary:
Its distance to the lowest polymorph of the same formula is 0.169 eV per atom. The value obtained for the calculated density is 7.547 g/cm3. The calculation puts the density of states at the Fermi level at 3.17 states/eV/f.u.